(1)
K2TcCl (PBEsol, relaxed); energy relative to the lowest polymorph listed for this composition = 0.0 meV/atom; Fermi-level density of states = 2.7 states/eV per cell
1.0
-2.404 -1.093 2.011
-0.973 -3.170 -0.146
5.860 -3.889 7.634
K Tc Cl
2 1 1
direct
0.261 0.261 0.216
0.739 0.739 0.784
0.500 0.500 0.500
0.000 0.000 0.000

(2)
KTcCl3 (PBEsol, relaxed); Fermi-level density of states = 0.0 states/eV per cell
1.0
8.076 -0.004 0.080
-3.819 7.116 0.080
-0.465 -0.776 8.665
Cl K Tc
12 4 4
direct
0.395 0.802 0.679
0.516 0.486 0.559
0.765 0.974 0.945
0.660 0.871 0.331
0.827 0.237 0.600
0.802 0.395 0.179
0.237 0.827 0.100
0.149 0.121 0.713
0.974 0.765 0.445
0.486 0.516 0.059
0.121 0.149 0.213
0.871 0.660 0.831
0.179 0.512 0.390
0.110 0.443 0.899
0.443 0.110 0.399
0.512 0.179 0.890
0.676 0.775 0.712
0.958 0.857 0.065
0.857 0.958 0.565
0.775 0.676 0.212

(3)
KTeCl2 (PBEsol, relaxed); energy relative to the lowest polymorph listed for this composition = 85.8 meV/atom; Fermi-level density of states = 2.4 states/eV per cell
1.0
-0.667 -2.804 1.796
2.861 0.455 1.772
-4.208 4.598 5.614
Cl K Te
2 1 1
direct
0.000 0.000 0.771
0.000 0.000 0.229
0.500 0.500 0.000
0.500 0.500 0.500

(4)
KTeCl2 (PBEsol, relaxed); energy relative to the lowest polymorph listed for this composition = 0.0 meV/atom; Fermi-level density of states = 0.3 states/eV per cell
1.0
4.525 0.000 0.000
0.000 4.627 -0.043
0.000 -0.276 5.893
K Cl Te
1 2 1
direct
0.500 0.000 0.500
0.000 0.309 0.219
0.000 0.691 0.781
0.500 0.500 0.000

(5)
K2TeCl (PBEsol, relaxed); Fermi-level density of states = 4.7 states/eV per cell
1.0
7.414 0.129 0.210
-2.666 6.919 -0.210
-2.666 -3.327 6.070
K Cl Te
4 2 2
direct
0.453 0.875 0.828
0.953 0.578 0.125
0.547 0.375 0.422
0.047 0.172 0.625
0.500 0.250 0.750
0.000 0.500 0.500
0.000 0.000 0.000
0.500 0.750 0.250

(6)
K3TeCl (PBEsol, relaxed); Fermi-level density of states = 0.0 states/eV per cell
1.0
5.735 0.000 0.000
0.000 5.735 0.000
0.000 0.000 5.735
K Cl Te
3 1 1
direct
0.000 0.500 0.000
0.500 0.000 0.000
0.000 0.000 0.500
0.000 0.000 0.000
0.500 0.500 0.500

(7)
K2TeCl6 (PBEsol, relaxed); Fermi-level density of states = 0.0 states/eV per cell
1.0
-1.302 -6.946 0.871
1.950 -3.260 6.023
-4.947 -2.139 4.653
K Cl Te
2 6 1
direct
0.250 0.250 0.250
0.750 0.750 0.750
0.252 0.748 0.252
0.252 0.252 0.748
0.252 0.748 0.748
0.748 0.748 0.252
0.748 0.252 0.748
0.748 0.252 0.252
0.000 0.000 0.000

(8)
KTeCl2 (PBEsol, relaxed); energy relative to the lowest polymorph listed for this composition = 22.7 meV/atom; Fermi-level density of states = 3.3 states/eV per cell
1.0
4.885 -0.112 0.000
-1.406 4.680 0.000
0.000 0.000 5.764
Cl K Te
2 1 1
direct
0.500 0.500 0.500
0.000 0.000 0.000
0.000 0.000 0.500
0.500 0.500 0.000

(9)
KTeCl2 (PBEsol, relaxed); energy relative to the lowest polymorph listed for this composition = 31.1 meV/atom; Fermi-level density of states = 0.4 states/eV per cell
1.0
-3.127 0.399 1.099
-3.630 -1.964 -4.547
-2.195 -5.666 0.884
Te Cl K
1 2 1
direct
0.000 0.500 0.500
0.736 0.264 0.264
0.264 0.736 0.736
0.500 0.000 0.000

(10)
KTi4Cl11 (PBEsol, relaxed); Fermi-level density of states = 16.6 states/eV per cell
1.0
6.698 0.000 0.000
0.000 12.729 0.000
0.000 0.000 16.486
Cl Ti K
44 16 4
direct
0.250 0.324 0.081
0.750 0.663 0.586
0.491 0.246 0.751
0.250 0.465 0.752
0.494 0.097 0.420
0.250 0.824 0.419
0.250 0.149 0.588
0.994 0.403 0.920
0.491 0.746 0.749
0.750 0.839 0.074
0.000 0.410 0.584
0.500 0.590 0.416
0.250 0.837 0.086
0.006 0.597 0.080
0.500 0.410 0.584
0.991 0.254 0.251
0.750 0.035 0.252
0.000 0.090 0.084
0.750 0.163 0.914
0.250 0.337 0.414
0.009 0.246 0.751
0.991 0.754 0.249
0.500 0.090 0.084
0.509 0.254 0.251
0.250 0.161 0.926
0.750 0.535 0.248
0.506 0.403 0.920
0.750 0.851 0.412
0.000 0.590 0.416
0.509 0.754 0.249
0.494 0.597 0.080
0.994 0.903 0.580
0.009 0.746 0.749
0.750 0.351 0.088
0.750 0.176 0.581
0.500 0.910 0.916
0.506 0.903 0.580
0.250 0.649 0.912
0.000 0.910 0.916
0.250 0.965 0.748
0.750 0.339 0.426
0.250 0.661 0.574
0.006 0.097 0.420
0.750 0.676 0.919
0.469 0.254 0.506
0.531 0.746 0.494
0.250 0.317 0.847
0.969 0.246 0.006
0.531 0.246 0.006
0.750 0.683 0.153
0.250 0.315 0.651
0.969 0.746 0.494
0.750 0.185 0.151
0.031 0.254 0.506
0.250 0.817 0.653
0.250 0.815 0.849
0.469 0.754 0.994
0.750 0.183 0.347
0.750 0.685 0.349
0.031 0.754 0.994
0.750 0.483 0.756
0.250 0.017 0.256
0.250 0.517 0.244
0.750 0.983 0.744

(11)
K2TiCl (PBEsol, relaxed); Fermi-level density of states = 12.8 states/eV per cell
1.0
8.244 -2.625 0.000
-5.643 6.558 0.000
-1.300 -1.966 8.325
K Cl Ti
4 2 2
direct
0.125 0.473 0.848
0.527 0.375 0.652
0.723 0.875 0.348
0.625 0.277 0.152
0.500 0.500 0.000
0.750 0.250 0.500
0.250 0.750 0.500
0.000 0.000 0.000

(12)
K3TiCl6 (PBEsol, relaxed); Fermi-level density of states = 30.7 states/eV per cell
1.0
7.499 0.000 0.000
0.000 11.886 0.090
0.000 -3.936 11.896
K Cl Ti
12 24 4
direct
0.562 0.148 0.409
0.062 0.352 0.591
0.427 0.617 0.819
0.573 0.383 0.181
0.927 0.883 0.181
0.930 0.767 0.817
0.938 0.648 0.409
0.570 0.267 0.817
0.070 0.233 0.183
0.073 0.117 0.819
0.430 0.733 0.183
0.438 0.852 0.591
0.729 0.901 0.408
0.296 0.896 0.852
0.796 0.604 0.148
0.498 0.619 0.378
0.271 0.099 0.592
0.296 0.990 0.144
0.998 0.881 0.622
0.704 0.104 0.148
0.771 0.401 0.408
0.229 0.599 0.592
0.631 0.813 0.000
0.204 0.396 0.852
0.179 0.851 0.371
0.204 0.490 0.144
0.704 0.010 0.856
0.502 0.381 0.622
0.321 0.351 0.371
0.679 0.649 0.629
0.131 0.687 0.000
0.002 0.119 0.378
0.369 0.187 0.000
0.869 0.313 0.000
0.821 0.149 0.629
0.796 0.510 0.856
0.000 0.000 0.500
0.000 0.500 0.000
0.500 0.000 0.000
0.500 0.500 0.500

(13)
Below is an optimized crystal structure of KTlCl3, with properties calculated at the PBEsol level.

```
KTlCl3
1.0
7.730 0.000 0.000
3.865 6.695 0.000
3.865 2.232 6.312
Cl Tl K
6 2 2
direct
0.237 0.763 0.237
0.763 0.237 0.763
0.237 0.237 0.763
0.237 0.763 0.763
0.763 0.763 0.237
0.763 0.237 0.237
0.000 0.000 0.000
0.500 0.500 0.500
0.250 0.250 0.250
0.750 0.750 0.750
```

(14)
KTlCl (PBEsol, relaxed); energy relative to the lowest polymorph listed for this composition = 0.0 meV/atom; Fermi-level density of states = 1.6 states/eV per cell
1.0
3.964 0.000 0.000
-1.982 3.433 0.000
0.000 0.000 7.048
K Cl Tl
1 1 1
direct
0.333 0.667 0.719
0.000 0.000 0.975
0.667 0.333 0.306

(15)
KTlCl (PBEsol, relaxed); energy relative to the lowest polymorph listed for this composition = 60.0 meV/atom; Fermi-level density of states = 1.5 states/eV per cell
1.0
3.694 0.000 0.000
0.000 5.342 0.000
0.000 -2.671 4.626
Cl K Tl
1 1 1
direct
0.164 0.000 0.000
0.668 0.333 0.667
0.168 0.667 0.333

(16)
K3TlCl6 (PBEsol, relaxed); Fermi-level density of states = 0.0 states/eV per cell
1.0
7.707 0.000 0.000
3.853 6.674 0.000
3.853 2.225 6.293
K Cl Tl
3 6 1
direct
0.500 0.500 0.500
0.750 0.750 0.750
0.250 0.250 0.250
0.765 0.235 0.235
0.765 0.765 0.235
0.235 0.765 0.765
0.235 0.235 0.765
0.765 0.235 0.765
0.235 0.765 0.235
0.000 0.000 0.000

(17)
K2VCl6 (PBEsol, relaxed); Fermi-level density of states = 6.3 states/eV per cell
1.0
6.797 0.000 0.000
3.398 5.886 0.000
3.398 1.962 5.549
Cl V K
6 1 2
direct
0.239 0.761 0.239
0.761 0.761 0.239
0.761 0.239 0.239
0.239 0.761 0.761
0.239 0.239 0.761
0.761 0.239 0.761
0.000 0.000 0.000
0.750 0.750 0.750
0.250 0.250 0.250

(18)
KW4Cl (PBEsol, relaxed); Fermi-level density of states = 4.8 states/eV per cell
1.0
-2.815 -3.717 2.869
-2.707 -3.987 -2.598
1.792 -5.165 0.291
W Cl K
4 1 1
direct
0.380 0.380 0.380
0.380 0.860 0.380
0.860 0.380 0.380
0.380 0.380 0.860
0.750 0.750 0.750
0.000 0.000 0.000

(19)
K2WCl6 (PBEsol, relaxed); Fermi-level density of states = 5.6 states/eV per cell
1.0
6.880 0.000 0.000
3.440 5.958 0.000
3.440 1.986 5.617
W Cl K
1 6 2
direct
0.000 0.000 0.000
0.757 0.243 0.757
0.757 0.757 0.243
0.243 0.757 0.243
0.243 0.243 0.757
0.243 0.757 0.757
0.757 0.243 0.243
0.750 0.750 0.750
0.250 0.250 0.250

(20)
K3WCl (PBEsol, relaxed); Fermi-level density of states = 1.9 states/eV per cell
1.0
5.894 0.000 0.000
0.000 5.894 0.000
0.000 0.000 5.894
Cl K W
1 3 1
direct
0.000 0.000 0.000
0.500 0.000 0.000
0.000 0.000 0.500
0.000 0.500 0.000
0.500 0.500 0.500

Taking the records one at a time from the top gives E values of -3.532 -4.827 -2.886 -2.972 -2.991 -3.037 -3.222 -2.949 -2.941 -5.187 -3.150 -4.203 -3.154 -2.702 -2.641 -3.196 -4.192 -8.126 -4.468 -3.221 eV per atom.
Taking the records one at a time from the top gives formation energy without anion corrections values of 354 -1143 -717 -803 -1041 -1250 -1240 -780 -772 -1655 -1 -1826 -1197 -778 -718 -1388 -1531 1603 -1344 622 meV per atom.
Taking the records one at a time from the top gives size of the total moment values of 2.38 0.00 0.45 0.00 1.01 0.00 0.00 0.00 0.00 0.05 3.03 1.00 0.00 0.00 0.00 0.00 1.00 0.00 2.00 5.94 μB/f.u..